The following is a PBE calculation of a geometry-optimized RbNdPdSe3 structure, from the Open Quantum Materials Database.

Space-group type: No. 63
Crystal system: orthorhombic

```
data_RbNdPdSe3
_chemical_formula_sum 'Rb2 Nd2 Pd2 Se6'
_cell_length_a 8.627
_cell_length_b 8.627
_cell_length_c 10.113
_cell_angle_alpha 90.00
_cell_angle_beta 90.00
_cell_angle_gamma 150.86
_symmetry_space_group_name_H-M 'P 1'
_symmetry_Int_Tables_number 1
_symmetry_space_group_name_Hall 'P 1'
loop_
_atom_site_label
_atom_site_type_symbol
_atom_site_fract_x
_atom_site_fract_y
_atom_site_fract_z
Rb1 Rb 0.245 0.755 0.750
Rb2 Rb 0.755 0.245 0.250
Nd1 Nd 0.000 0.000 0.000
Nd2 Nd 0.000 0.000 0.500
Pd1 Pd 0.497 0.503 0.750
Pd2 Pd 0.503 0.497 0.250
Se1 Se 0.094 0.906 0.250
Se2 Se 0.390 0.610 0.089
Se3 Se 0.390 0.610 0.411
Se4 Se 0.610 0.390 0.589
Se5 Se 0.610 0.390 0.911
Se6 Se 0.906 0.094 0.750
```



The following is a PBE calculation of a geometry-optimized BiOs2O4 structure, from the Open Quantum Materials Database.

Space-group type: No. 227
Crystal system: cubic

```
data_BiOs2O4
_chemical_formula_sum 'Bi2 Os4 O8'
_cell_length_a 6.466
_cell_length_b 6.466
_cell_length_c 6.466
_cell_angle_alpha 60.00
_cell_angle_beta 60.00
_cell_angle_gamma 60.00
_symmetry_space_group_name_H-M 'P 1'
_symmetry_Int_Tables_number 1
_symmetry_space_group_name_Hall 'P 1'
loop_
_atom_site_label
_atom_site_type_symbol
_atom_site_fract_x
_atom_site_fract_y
_atom_site_fract_z
Bi1 Bi 0.125 0.125 0.125
Bi2 Bi 0.875 0.875 0.875
Os1 Os 0.000 0.500 0.500
Os2 Os 0.500 0.000 0.500
Os3 Os 0.500 0.500 0.000
Os4 Os 0.500 0.500 0.500
O1 O 0.274 0.274 0.274
O2 O 0.274 0.274 0.678
O3 O 0.274 0.678 0.274
O4 O 0.322 0.726 0.726
O5 O 0.678 0.274 0.274
O6 O 0.726 0.322 0.726
O7 O 0.726 0.726 0.322
O8 O 0.726 0.726 0.726
```



The following is a PBE calculation of a geometry-optimized Dy4ErLu2Ni2Te2 structure, from the Open Quantum Materials Database.

Space-group type: No. 44
Relative energy among the computed polymorphs (meV per atom): 13
Crystal system: orthorhombic

```
data_Dy4ErLu2Ni2Te2
_chemical_formula_sum 'Dy4 Er1 Lu2 Ni2 Te2'
_cell_length_a 9.298
_cell_length_b 9.298
_cell_length_c 9.298
_cell_angle_alpha 156.21
_cell_angle_beta 66.94
_cell_angle_gamma 118.46
_symmetry_space_group_name_H-M 'P 1'
_symmetry_Int_Tables_number 1
_symmetry_space_group_name_Hall 'P 1'
loop_
_atom_site_label
_atom_site_type_symbol
_atom_site_fract_x
_atom_site_fract_y
_atom_site_fract_z
Dy1 Dy 0.146 0.000 0.146
Dy2 Dy 0.463 0.647 0.816
Dy3 Dy 0.832 0.647 0.184
Dy4 Dy 0.854 0.000 0.854
Er1 Er 0.770 0.270 0.500
Lu1 Lu 0.218 0.852 0.366
Lu2 Lu 0.487 0.852 0.634
Ni1 Ni 0.078 0.340 0.738
Ni2 Ni 0.602 0.340 0.262
Te1 Te 0.112 0.612 0.500
Te2 Te 0.501 0.501 0.000
```



| no. | calculated volume (Å³/atom) | E (eV per formula unit) |
| --- | --- | --- |
| 1 | 30.545 | -28.25 |
| 2 | 13.654 | -48.31 |
| 3 | 25.704 | -56.80 |